Here is an optimized crystal structure of Ti2ZnO from Alexandria via LeMat-Bulk. Energies are from GGA-PBE.

Output
The calculation puts the energy above the lowest structure with this stoichiometry at 366 meV per atom.

abc: 2.8058 2.8058 8.4029
angles: 80.39 80.39 60.00
Positions (direct):
Zn1 0.0000 0.0000 0.0000
O1 0.5000 0.5000 0.5000
Ti1 0.1098 0.1098 0.6705
Ti2 0.8902 0.8902 0.3295

***

Here is an optimized crystal structure of PmZn2SiRu from Alexandria via LeMat-Bulk. Energies are from GGA-PBE.

abc: 3.8977 4.1183 6.2334
angles: 109.29 108.22 90.00
Positions (direct):
Pm1 0.4371 0.4371 0.8742
Zn1 0.6960 0.1960 0.3920
Zn2 0.0528 0.0528 0.1056
Si1 0.8251 0.8251 0.6502
Ru1 0.2012 0.7012 0.4023

***

Here is an optimized crystal structure of CaNd2Cu2Si2 from Alexandria via LeMat-Bulk. Energies are from GGA-PBE.

abc: 4.2515 4.2515 10.4833
angles: 78.30 78.30 60.00
Positions (direct):
Ca1 0.0000 0.0000 0.0000
Nd1 0.1217 0.1217 0.6349
Nd2 0.8783 0.8783 0.3651
Cu1 0.6033 0.6033 0.1901
Cu2 0.3967 0.3967 0.8099
Si1 0.7337 0.7337 0.7988
Si2 0.2663 0.2663 0.2012

***

Here is an optimized crystal structure of ScReIr from Alexandria via LeMat-Bulk. Energies are from GGA-PBE.

Output
The calculation puts the energy above the lowest structure with this stoichiometry at 177 meV per atom.

abc: 5.1070 5.1070 5.1070
angles: 147.44 135.88 55.89
Positions (direct):
Ir1 0.9842 0.9842 0.0000
Re1 0.3502 0.3502 0.0000
Sc1 0.6656 0.6656 0.0000

***

Here is an optimized crystal structure of Ti4Cd3 from Alexandria via LeMat-Bulk. Energies are from GGA-PBE.

abc: 2.8828 2.8828 15.9873
angles: 95.17 95.17 90.00
Positions (direct):
Ti1 0.8630 0.8630 0.7259
Ti2 0.1370 0.1370 0.2741
Ti3 0.5753 0.5753 0.1505
Ti4 0.4247 0.4247 0.8495
Cd1 0.0000 0.0000 0.0000
Cd2 0.7110 0.7110 0.4221
Cd3 0.2890 0.2890 0.5779

***

Here is an optimized crystal structure of TaI2BrN from Alexandria via LeMat-Bulk. Energies are from GGA-PBE.

Output
The calculation puts the energy above the lowest structure with this stoichiometry at 1732 meV per atom.

abc: 6.1399 6.1399 3.6449
angles: 90.00 90.00 90.00
Each line ends with the local moment (μB).
Positions (direct):
I1 0.0000 0.5000 0.0000  -0.07
I2 0.5000 0.0000 0.0000  -0.07
N1 0.0000 0.0000 0.5000  -0.01
Br1 0.0000 0.0000 0.0000  -0.02
Ta1 0.5000 0.5000 0.5000  1.72

***

Here is an optimized crystal structure of Ca2Tl5Hg from Alexandria via LeMat-Bulk. Energies are from GGA-PBE.

abc: 4.9159 6.7934 13.5652
angles: 90.00 90.00 90.00
Positions (direct):
Ca1 0.5000 0.2364 0.6216
Ca2 0.5000 0.7636 0.3784
Ca3 0.5000 0.2636 0.1216
Ca4 0.5000 0.7364 0.8784
Tl1 0.0000 0.0000 0.0000
Tl2 0.0000 0.5000 0.5000
Tl3 0.0000 0.4851 0.7518
Tl4 0.0000 0.5149 0.2482
Tl5 0.0000 0.0149 0.2518
Tl6 0.0000 0.9851 0.7482
Tl7 0.5000 0.2402 0.8740
Tl8 0.5000 0.7598 0.1260
Tl9 0.5000 0.2598 0.3740
Tl10 0.5000 0.7402 0.6260
Hg1 0.0000 0.0000 0.5000
Hg2 0.0000 0.5000 0.0000

***

Here is an optimized crystal structure of LiHSe2F from Alexandria via LeMat-Bulk. Energies are from GGA-PBE.

abc: 4.8321 2.9623 4.8321
angles: 90.00 90.00 90.00
Positions (direct):
H1 0.0000 0.5000 0.0000
Li1 0.0000 0.0000 0.0000
Se1 0.0000 0.0000 0.5000
Se2 0.5000 0.0000 0.0000
F1 0.5000 0.5000 0.5000

***

Here is an optimized crystal structure of CoHg2Cl8 from Alexandria via LeMat-Bulk. Energies are from GGA-PBE.

abc: 6.5149 6.9546 10.0162
angles: 108.31 90.00 117.93
Each line ends with the local moment (μB).
Positions (direct):
Co1 0.0000 0.0000 0.0000  1.88
Hg1 0.3258 0.6516 0.4308  0.01
Hg2 0.6742 0.3484 0.5692  0.01
Cl1 0.1061 0.7500 0.8987  0.22
Cl2 0.3561 0.2500 0.1013  0.22
Cl3 0.1873 0.3747 0.5423  0.01
Cl4 0.8127 0.6253 0.4577  0.01
Cl5 0.6439 0.7500 0.8987  0.22
Cl6 0.8939 0.2500 0.1013  0.22
Cl7 0.4488 0.8976 0.2991  0.03
Cl8 0.5512 0.1024 0.7009  0.03

***

Here is an optimized crystal structure of CaEr2CdPd4 from Alexandria via LeMat-Bulk. Energies are from GGA-PBE.

abc: 4.8456 4.8456 8.4479
angles: 73.33 73.33 60.00
Positions (direct):
Ca1 0.0000 0.0000 0.0000
Er1 0.7551 0.7551 0.7348
Er2 0.2449 0.2449 0.2652
Cd1 0.5000 0.5000 0.5000
Pd1 0.3773 0.3773 0.8680
Pd2 0.8752 0.8752 0.3745
Pd3 0.1248 0.1248 0.6255
Pd4 0.6227 0.6227 0.1320

***

Here is an optimized crystal structure of As2OsPt from Alexandria via LeMat-Bulk. Energies are from GGA-PBE.

Output
The calculation puts the energy above the lowest structure with this stoichiometry at 0 meV per atom.

abc: 3.0163 3.0163 7.9298
angles: 90.00 90.00 90.00
Positions (direct):
As1 0.0000 0.0000 0.9338
As2 0.5000 0.5000 0.3212
Os1 0.0000 0.0000 0.4970
Pt1 0.5000 0.5000 0.7481

***

Here is an optimized crystal structure of AcPm7Dy3 from Alexandria via LeMat-Bulk. Energies are from GGA-PBE.

Output
The calculation puts the energy above the lowest structure with this stoichiometry at 15 meV per atom.

abc: 6.5975 7.7793 7.7808
angles: 81.13 85.97 85.98
Positions (direct):
Ac1 0.5000 0.5000 0.5000
Pm1 0.7974 0.2328 0.2328
Pm2 0.7416 0.9283 0.5761
Pm3 0.2584 0.4239 0.0717
Pm4 0.7416 0.5761 0.9283
Pm5 0.0000 0.5000 0.5000
Pm6 0.2584 0.0717 0.4239
Pm7 0.2026 0.7672 0.7672
Dy1 0.0000 0.8300 0.1700
Dy2 0.5000 0.0000 0.0000
Dy3 0.0000 0.1700 0.8300

***

Number 1: raw total energy -6.43 eV per atom. Number 2: raw total energy -4.81 eV per atom. Number 3: raw total energy -4.78 eV per atom. Number 4: raw total energy -9.35 eV per atom. Number 5: raw total energy -4.96 eV per atom. Number 6: raw total energy -3.13 eV per atom. Number 7: raw total energy -2.27 eV per atom. Number 8: raw total energy -2.60 eV per atom. Number 9: raw total energy -2.48 eV per atom. Number 10: raw total energy -4.86 eV per atom. Number 11: raw total energy -6.55 eV per atom. Number 12: raw total energy -4.44 eV per atom.